La5PmDyTm2: relaxed, GGA-PBE.

Lattice parameters (Å, degrees): 5.493 11.190 10.691 90.00 90.00 104.21
Fractional positions:
La 0.377 0.754 0.008
La 0.721 0.442 0.819
La 0.500 0.000 0.758
La 0.280 0.560 0.699
La 0.000 0.000 0.508
La 0.623 0.246 0.508
La 0.279 0.558 0.319
La 0.500 0.000 0.258
La 0.720 0.440 0.199
La 0.000 0.000 0.008
Pm 0.786 0.572 0.509
Pm 0.214 0.428 0.009
Dy 0.600 0.200 0.008
Dy 0.400 0.800 0.508
Tm 0.888 0.775 0.755
Tm 0.113 0.226 0.761
Tm 0.112 0.225 0.255
Tm 0.887 0.774 0.261

- density (g/cm³) = 6.99
- energy of formation from the pure elements (kJ/mol of formula units) = 112
- Fermi-level density of states (states/eV/cell) = 27.35